This record from the Alexandria database describes an optimized crystal structure of Mn2Se. The functional is PBE.

Cell lengths 6.344, 6.344, 5.318 Å; angles 65.46, 65.46, 29.42 degrees
Fractional coordinates of all 6 atoms:
Mn: 0.000 0.000 0.759
Se: 0.352 0.352 0.647
Mn: 0.669 0.669 0.832
Se: 0.648 0.648 0.353
Mn: 0.000 0.000 0.241
Mn: 0.331 0.331 0.168

Results
**M_tot**: 14.0 Bohr magnetons per cell
**Energy relative to the elements, uncorrected**: 55 meV/atom
**VASP energy**: -7.22 eV/atom